Entry 1:
A plane-wave DFT calculation with PBE-GGA was carried out for an optimized crystal structure of Mg8Tl2Sb.

Properties
ΔE_f (raw) ... -0.062 eV per atom
Energy ... -2.0265 eV per atom

a b c (Å): 16.276 4.590 7.258
angles (deg): 90.00 106.46 90.00
Space group C2/m (No. 12)
Asymmetric unit:
Mg 0.041 0.000 0.227 (multiplicity 4)
Mg 0.092 0.500 0.958 (multiplicity 4)
Mg 0.142 0.000 0.693 (multiplicity 4)
Mg 0.179 0.500 0.413 (multiplicity 4)
Tl 0.220 0.000 0.154 (multiplicity 4)
Sb 0.000 0.500 0.500 (multiplicity 2)



Entry 2:
A plane-wave DFT calculation with PBE-GGA was carried out for an optimized crystal structure of Mg3TlSb2.

Properties
ΔE_f (raw) ... -0.239 eV per atom
Energy ... -2.8047 eV per atom

a b c (Å): 19.214 4.663 11.424
angles (deg): 90.00 103.57 90.00
Space group C2/m (No. 12)
Asymmetric unit:
Mg 0.000 0.000 0.000 (multiplicity 2)
Mg 0.038 0.500 0.855 (multiplicity 4)
Mg 0.115 0.000 0.692 (multiplicity 4)
Mg 0.173 0.000 0.449 (multiplicity 4)
Mg 0.218 0.500 0.877 (multiplicity 4)
Tl 0.000 0.500 0.500 (multiplicity 2)
Tl 0.139 0.500 0.181 (multiplicity 4)
Sb 0.033 0.000 0.287 (multiplicity 4)
Sb 0.147 0.000 0.956 (multiplicity 4)
Sb 0.190 0.500 0.618 (multiplicity 4)



Entry 3:
A plane-wave DFT calculation with PBE-GGA was carried out for an optimized crystal structure of MgTl2Sb2.

Properties
E above lowest polymorph ... 0.0000 eV/atom
ΔE_f (raw) ... -0.072 eV per atom
Energy ... -2.9859 eV per atom

a b c (Å): 7.514 7.514 5.485
angles (deg): 90.00 90.00 90.00
Space group P4/mbm (No. 127)
Asymmetric unit:
Mg 0.000 0.000 0.000 (multiplicity 2)
Tl 0.173 0.327 0.500 (multiplicity 4)
Sb 0.135 0.635 0.000 (multiplicity 4)



Entry 4:
A plane-wave DFT calculation with PBE-GGA was carried out for an optimized crystal structure of MgTlSb.

Properties
ΔE_f (raw) ... -0.233 eV per atom
Energy ... -2.9270 eV per atom

a b c (Å): 4.791 4.794 9.965
angles (deg): 90.16 103.76 119.91
Space group P-1 (No. 2)
Asymmetric unit:
Mg 0.097 0.297 0.395 (multiplicity 2)
Tl 0.244 0.870 0.115 (multiplicity 2)
Sb 0.299 0.401 0.700 (multiplicity 2)



Entry 5:
A plane-wave DFT calculation with PBE-GGA was carried out for an optimized crystal structure of MgTlSb.

Properties
ΔE_f (raw) ... -0.110 eV per atom
Energy ... -2.8039 eV per atom

a b c (Å): 4.7945 4.7945 4.9070
angles (deg): 90.00 90.00 120.00
Space group P3m1 (No. 156)
Asymmetric unit:
Mg 0.0000 0.0000 0.0000 (multiplicity 1)
Tl 0.3333 0.6667 0.5021 (multiplicity 1)
Sb 0.6667 0.3333 0.0065 (multiplicity 1)



Entry 6:
A plane-wave DFT calculation with PBE-GGA was carried out for an optimized crystal structure of Mg6Tl5Sb.

Properties
ΔE_f (raw) ... -0.059 eV per atom
Energy ... -2.1855 eV per atom

a b c (Å): 5.191 7.309 15.796
angles (deg): 90.00 90.00 90.00
Space group Immm (No. 71)
Asymmetric unit:
Mg 0.000 0.242 0.000 (multiplicity 4)
Mg 0.000 0.255 0.336 (multiplicity 8)
Tl 0.000 0.000 0.173 (multiplicity 4)
Tl 0.000 0.000 0.500 (multiplicity 2)
Tl 0.000 0.500 0.164 (multiplicity 4)
Sb 0.000 0.500 0.500 (multiplicity 2)



Entry 7:
A plane-wave DFT calculation with PBE-GGA was carried out for an optimized crystal structure of MgTlSb.

Properties
ΔE_f (raw) ... 0.032 eV per atom
Energy ... -2.6625 eV per atom

a b c (Å): 3.4204 3.4204 7.9024
angles (deg): 90.00 90.00 120.00
Space group P3m1 (No. 156)
Asymmetric unit:
Mg 0.0000 0.0000 0.0000 (multiplicity 1)
Tl 0.3333 0.6667 0.6755 (multiplicity 1)
Sb 0.6667 0.3333 0.3032 (multiplicity 1)



Entry 8:
A plane-wave DFT calculation with PBE-GGA was carried out for an optimized crystal structure of Mg4TlSb.

Properties
ΔE_f (raw) ... 0.027 eV per atom
Energy ... -2.1177 eV per atom

a b c (Å): 8.400 8.400 8.400
angles (deg): 90.00 90.00 90.00
Space group F-43m (No. 216)
Asymmetric unit:
Mg 0.125 0.125 0.125 (multiplicity 16)
Tl 0.000 0.000 0.500 (multiplicity 4)
Sb 0.250 0.250 0.750 (multiplicity 4)



Entry 9:
A plane-wave DFT calculation with PBE-GGA was carried out for an optimized crystal structure of MgTlSb.

Properties
ΔE_f (raw) ... -0.252 eV per atom
Energy ... -2.9465 eV per atom

a b c (Å): 4.893 4.893 7.502
angles (deg): 90.00 90.00 90.00
Space group P4/nmm (No. 129, origin choice 2)
Asymmetric unit:
Mg 0.250 0.750 0.000 (multiplicity 2)
Tl 0.250 0.250 0.341 (multiplicity 2)
Sb 0.250 0.250 0.780 (multiplicity 2)



Entry 10:
A plane-wave DFT calculation with PBE-GGA was carried out for an optimized crystal structure of MgTlSb4.

Properties
ΔE_f (raw) ... 0.126 eV per atom
Energy ... -3.2821 eV per atom

a b c (Å): 8.970 8.970 8.970
angles (deg): 90.00 90.00 90.00
Space group F-43m (No. 216)
Asymmetric unit:
Mg 0.000 0.000 0.000 (multiplicity 4)
Tl 0.250 0.250 0.250 (multiplicity 4)
Sb 0.125 0.125 0.625 (multiplicity 16)



Entry 11:
A plane-wave DFT calculation with PBE-GGA was carried out for an optimized crystal structure of MgTlSb2.

Properties
E above lowest polymorph ... 0.1090 eV/atom
ΔE_f (raw) ... 0.030 eV per atom
Energy ... -3.0215 eV per atom

a b c (Å): 3.906 3.906 7.524
angles (deg): 90.00 90.00 90.00
Space group P4mm (No. 99)
Asymmetric unit:
Mg 0.000 0.000 0.000 (multiplicity 1)
Tl 0.500 0.500 0.765 (multiplicity 1)
Sb 0.000 0.000 0.412 (multiplicity 1)
Sb 0.500 0.500 0.230 (multiplicity 1)



Entry 12:
A plane-wave DFT calculation with PBE-GGA was carried out for an optimized crystal structure of MgTl2Sb2.

Properties
E above lowest polymorph ... 0.2335 eV/atom
ΔE_f (raw) ... 0.162 eV per atom
Energy ... -2.7524 eV per atom

a b c (Å): 7.967 7.967 4.859
angles (deg): 90.00 90.00 90.00
Space group P4/mbm (No. 127)
Asymmetric unit:
Mg 0.000 0.000 0.000 (multiplicity 2)
Tl 0.163 0.337 0.000 (multiplicity 4)
Sb 0.127 0.627 0.500 (multiplicity 4)